A relaxed structure of Th3Si4Rh7. Source: Alexandria via LeMat-Bulk, functional GGA-PBE.

The space group is C2/m (No. 12) and the conventional cell measures 15.590, 4.058 and 9.493 Å, with angles of 90.00, 125.67 and 90.00 degrees. Symmetry generates all atoms from Th at (0.000, 0.000, 0.000), Th at (0.170, 0.500, 0.664), Si at (0.115, 0.000, 0.841), Si at (0.164, 0.500, 0.281), Rh at (0.000, 0.000, 0.500), Rh at (0.002, 0.500, 0.269), Rh at (0.166, 0.000, 0.423) and Rh at (0.198, 0.500, 0.050).

For the total energy, the calculation gives -219.38 eV for the cell shown.

***

A relaxed structure of ThTiSi2Rh5. Source: Alexandria via LeMat-Bulk, functional GGA-PBE.

The space group is P4/mmm (No. 123) and the conventional cell measures 4.083, 4.083 and 9.942 Å, with angles of 90.00, 90.00 and 90.00 degrees. Symmetry generates all atoms from Th at (0.000, 0.000, 0.000), Ti at (0.000, 0.000, 0.500), Si at (0.500, 0.500, 0.234), Rh at (0.000, 0.500, 0.344) and Rh at (0.500, 0.500, 0.000).

For the total energy, the calculation gives -68.77 eV for the cell shown.

***

A relaxed structure of TmTh2Si3Rh4. Source: Alexandria via LeMat-Bulk, functional GGA-PBE.

The space group is P-4m2 (No. 115) and the conventional cell measures 4.118, 4.118 and 11.081 Å, with angles of 90.00, 90.00 and 90.00 degrees. Symmetry generates all atoms from Tm at (0.000, 0.000, 0.000), Th at (0.000, 0.500, 0.731), Si at (0.000, 0.500, 0.382), Si at (0.500, 0.500, 0.000), Rh at (0.000, 0.000, 0.500), Rh at (0.000, 0.500, 0.164) and Rh at (0.500, 0.500, 0.500).

For the total energy, the calculation gives -75.10 eV for the cell shown.

***

A relaxed structure of TmTh2Si2Rh7. Source: Alexandria via LeMat-Bulk, functional GGA-PBE.

The space group is C2/m (No. 12) and the conventional cell measures 5.807, 5.747 and 13.069 Å, with angles of 90.00, 98.03 and 90.00 degrees. Symmetry generates all atoms from Tm at (0.000, 0.000, 0.000), Th at (0.100, 0.000, 0.347), Si at (0.077, 0.500, 0.250), Rh at (0.000, 0.500, 0.000), Rh at (0.151, 0.500, 0.431) and Rh at (0.200, 0.250, 0.839).

For the total energy, the calculation gives -185.07 eV for the cell shown.

***

A relaxed structure of ThUSi2Rh5. Source: Alexandria via LeMat-Bulk, functional GGA-PBE.

The space group is P4/mmm (No. 123) and the conventional cell measures 3.996, 3.996 and 10.961 Å, with angles of 90.00, 90.00 and 90.00 degrees. Symmetry generates all atoms from Th at (0.000, 0.000, 0.000), U at (0.000, 0.000, 0.500), Si at (0.500, 0.500, 0.214), Rh at (0.000, 0.500, 0.331) and Rh at (0.500, 0.500, 0.000).

For the total energy, the calculation gives -72.43 eV for the cell shown.

***

A relaxed structure of YTh2Si2Rh7. Source: Alexandria via LeMat-Bulk, functional GGA-PBE.

The space group is C2/m (No. 12) and the conventional cell measures 5.833, 5.766 and 13.088 Å, with angles of 90.00, 98.00 and 90.00 degrees. Symmetry generates all atoms from Y at (0.000, 0.000, 0.000), Th at (0.099, 0.000, 0.348), Si at (0.077, 0.500, 0.252), Rh at (0.000, 0.500, 0.000), Rh at (0.152, 0.500, 0.432) and Rh at (0.200, 0.250, 0.837).

For the total energy, the calculation gives -188.45 eV for the cell shown.

***

no.,total magnetization (Bohr magnetons per cell)
1,0.000
2,0.000
3,0.000
4,0.000
5,0.000
6,0.000